The following is a DFT calculation (PBE-GGA) of a geometry-optimized MnAgI2 structure.

The value obtained for the density of states at the Fermi level is 4.13 states/eV per cell. For the total magnetization, the calculation gives 4.38 μB per formula unit. Its mass density is 5.37 Mg/m³. For the formation energy without anion corrections, the calculation gives 0.080 eV per atom. The crystal system is trigonal. The value obtained for the offset from the most stable computed form is 0.0000 eV per atom.

The space group is R-3m (No. 166, hexagonal axes) and the conventional cell measures 4.0199, 4.0199 and 27.6319 Å, with angles of 90.00, 90.00 and 120.00 degrees. The inequivalent atoms are Mn at (0.0000, 0.0000, 0.0000), Ag at (0.0000, 0.0000, 0.5000) and I at (0.0000, 0.0000, 0.3949).